First-principles (PBE-GGA) data for an optimized crystal structure of ZnInIr2, as listed in the Alexandria database.

CIF file:
```
data_ZnInIr2
_symmetry_space_group_name_H-M 'P 1'
_symmetry_Int_Tables_number 1
_cell_length_a 3.1948
_cell_length_b 4.4299
_cell_length_c 4.4299
_cell_angle_alpha 90.00
_cell_angle_beta 90.00
_cell_angle_gamma 90.00
loop_
_symmetry_equiv_pos_as_xyz
'x,y,z'
loop_
_atom_site_label
_atom_site_type_symbol
_atom_site_fract_x
_atom_site_fract_y
_atom_site_fract_z
_atom_site_occupancy
Ir1 Ir 0.0000 0.5000 0.5000 1
Zn1 Zn 0.5000 0.5000 0.0000 1
Ir2 Ir 0.0000 0.0000 0.0000 1
In1 In 0.5000 0.0000 0.5000 1
```

Computed properties:
- E: -22.0 eV/f.u.
- ΔE_f: -0.074 eV/atom
- Symmetry: P4/mmm (123)
- DOS(E_F): 1.19 states/eV/f.u.
- Calculated volume: 62.7 Å³/cell
- Spin magnetization: 0.00 μB/f.u.



First-principles (PBE-GGA) data for an optimized crystal structure of LiRuPb, as listed in the Alexandria database.

CIF file:
```
data_LiRuPb
_symmetry_space_group_name_H-M 'P 1'
_symmetry_Int_Tables_number 1
_cell_length_a 4.3512
_cell_length_b 4.3512
_cell_length_c 3.0892
_cell_angle_alpha 90.00
_cell_angle_beta 90.00
_cell_angle_gamma 120.00
loop_
_symmetry_equiv_pos_as_xyz
'x,y,z'
loop_
_atom_site_label
_atom_site_type_symbol
_atom_site_fract_x
_atom_site_fract_y
_atom_site_fract_z
_atom_site_occupancy
Pb1 Pb 0.3333 0.6667 0.2917 1
Ru1 Ru 0.6667 0.3333 0.7049 1
Li1 Li 0.0000 0.0000 0.0034 1
```

Computed properties:
- Polymorph energy (0 for the lowest one): 65 meV/atom
- E: -14.2 eV/f.u.
- ΔE_f: 0.241 eV/atom
- Symmetry: P3m1 (156)
- DOS(E_F): 1.95 states/eV/f.u.
- Calculated volume: 50.7 Å³/cell
- Spin magnetization: 0.00 μB/f.u.



| no. | ρ (g cm⁻³) |
| --- | --- |
| 1 | 15.0 |
| 2 | 10.3 |